A plane-wave DFT calculation with PBE was carried out for an optimized crystal structure of Sm8Y4Sc.

Geometry as POSCAR:
```
Sm8Y4Sc
1.0
5.534 3.195 4.493
-5.534 3.195 4.493
0.000 -6.390 4.493
Sm Y Sc
8 4 1
Direct
0.244 0.244 0.244
0.244 0.244 0.754
0.244 0.754 0.244
0.246 0.756 0.756
0.754 0.244 0.244
0.756 0.246 0.756
0.756 0.756 0.246
0.756 0.756 0.756
0.000 0.000 0.000
0.000 0.500 0.500
0.500 0.000 0.500
0.500 0.500 0.000
0.500 0.500 0.500
```

Output
theoretical density = 5.59 Mg/m³
SG = No. 166
final energy = -63.3 eV for the cell shown